[1]
Below is a relaxed SiNi2Hg crystal, with properties calculated at the PBEsol level.

Values from the calculation:
The value obtained for the uncorrected formation energy is -41.8 meV/atom. The crystal system is orthorhombic.

Lattice parameters (Å, degrees): 3.619 4.418 6.732 90.00 90.00 90.00
Space group Immm (No. 71)
Asymmetric unit:
Si 0.000 0.000 0.000 (multiplicity 2)
Ni 0.000 0.500 0.293 (multiplicity 4)
Hg 0.000 0.000 0.500 (multiplicity 2)

***

[2]
Below is a relaxed Ti3OsAu crystal, with properties calculated at the PBEsol level.

Values from the calculation:
The crystal system is cubic. As for the energy relative to the elements: 1.334 eV/atom.

Lattice parameters (Å, degrees): 4.674 4.674 4.674 90.00 90.00 90.00
Space group Pm-3m (No. 221)
Asymmetric unit:
Ti 0.000 0.000 0.500 (multiplicity 3)
Os 0.500 0.500 0.500 (multiplicity 1)
Au 0.000 0.000 0.000 (multiplicity 1)

***

[3]
Below is a relaxed YIn2Pt crystal, with properties calculated at the PBEsol level.

Values from the calculation:
The crystal system is trigonal. As for the energy relative to the elements: -0.629 eV/atom.

Lattice parameters (Å, degrees): 4.6601 4.6601 14.3152 90.00 90.00 120.00
Space group R3m (No. 160, hexagonal axes)
Asymmetric unit:
Y 0.0000 0.0000 0.0000 (multiplicity 3)
In 0.0000 0.0000 0.5552 (multiplicity 3)
In 0.0000 0.0000 0.7807 (multiplicity 3)
Pt 0.0000 0.0000 0.2014 (multiplicity 3)

***

[4]
Below is a relaxed LaBiO3 crystal, with properties calculated at the PBEsol level.

Values from the calculation:
The value obtained for the uncorrected formation energy is -2318.8 meV/atom. The crystal system is trigonal.

Lattice parameters (Å, degrees): 6.2471 6.2471 14.8566 90.00 90.00 120.00
Space group R-3 (No. 148, hexagonal axes)
Asymmetric unit:
La 0.0000 0.0000 0.1319 (multiplicity 6)
Bi 0.0000 0.0000 0.3561 (multiplicity 6)
O 0.0244 0.2794 0.7446 (multiplicity 18)

***

Which formula does entry 2 have? Ti3OsAu